# 1
Density functional theory data (PBE) for a geometry-optimized CoAgC2 structure.

```
8
Lattice="-2.378 2.378 4.376 2.378 -2.378 4.376 2.378 2.378 -4.376" Properties=species:S:1:pos:R:3 pbc="T T T"
Co 0.000 0.000 0.000
Co 0.000 2.378 2.188
Ag 2.378 0.000 2.188
Ag 0.000 0.000 4.376
C 3.567 0.805 -1.094
C 0.805 1.189 1.094
C -1.189 1.573 3.282
C 1.573 1.189 5.470
```

Calculated values
- Magnetic moment: 0.00 μB/f.u.
- Volume: 12.370 A^3/atom
- Density: 6.40 g/cm³
- DFT formation energy: 1.30 eV/atom

***

# 2
Density functional theory data (PBE) for a geometry-optimized CoAgC3 structure.

```
5
Lattice="3.798 0.000 0.000 0.000 3.798 0.000 0.000 0.000 3.798" Properties=species:S:1:pos:R:3 pbc="T T T"
Co 0.000 0.000 0.000
Ag 1.899 1.899 1.899
C 0.000 0.000 1.899
C 0.000 1.899 0.000
C 1.899 0.000 0.000
```

Calculated values
- Magnetic moment: 0.81 μB/f.u.
- Volume: 10.957 A^3/atom
- Density: 6.15 g/cm³
- DFT formation energy: 2.18 eV/atom

***

# 3
Density functional theory data (PBE) for a geometry-optimized CoAgC2 structure.

```
4
Lattice="0.000 2.711 2.711 2.711 0.000 2.711 2.711 2.711 0.000" Properties=species:S:1:pos:R:3 pbc="T T T"
Co 0.000 0.000 0.000
Ag 2.711 2.711 2.711
C 1.355 1.355 1.355
C 4.066 4.066 4.066
```

Calculated values
- Magnetic moment: 0.11 μB/f.u.
- Volume: 9.958 A^3/atom
- Density: 7.96 g/cm³
- DFT formation energy: 2.12 eV/atom

***

# 4
Density functional theory data (PBE) for a geometry-optimized Co2AgC structure.

```
8
Lattice="-2.992 2.992 2.672 2.992 -2.992 2.672 2.992 2.992 -2.672" Properties=species:S:1:pos:R:3 pbc="T T T"
Co 1.496 0.812 -0.668
Co 2.180 -1.496 3.340
Co 1.496 2.180 2.004
Co 0.812 4.488 0.668
Ag 2.992 0.000 1.336
Ag 0.000 0.000 2.672
C 0.000 0.000 0.000
C 0.000 2.992 1.336
```

Calculated values
- Magnetic moment: 0.83 μB/f.u.
- Volume: 11.963 A^3/atom
- Density: 8.25 g/cm³
- DFT formation energy: 0.52 eV/atom

***

# 5
Density functional theory data (PBE) for a geometry-optimized Co3AgC structure.

```
5
Lattice="3.820 0.000 0.000 0.000 3.820 0.000 0.000 0.000 3.820" Properties=species:S:1:pos:R:3 pbc="T T T"
Co 0.000 0.000 1.910
Co 0.000 1.910 0.000
Co 1.910 0.000 0.000
Ag 1.910 1.910 1.910
C 0.000 0.000 0.000
```

Calculated values
- Magnetic moment: 2.25 μB/f.u.
- Volume: 11.151 A^3/atom
- Density: 8.84 g/cm³
- DFT formation energy: 0.27 eV/atom

***

# 6
Density functional theory data (PBE) for a geometry-optimized Co3AgC structure.

```
5
Lattice="4.622 0.000 0.000 0.000 4.622 0.000 0.000 0.000 4.622" Properties=species:S:1:pos:R:3 pbc="T T T"
Co 0.000 0.000 2.311
Co 0.000 2.311 0.000
Co 2.311 0.000 0.000
Ag 0.000 0.000 0.000
C 2.311 2.311 2.311
```

Calculated values
- Magnetic moment: 5.89 μB/f.u.
- Volume: 19.743 A^3/atom
- Density: 4.99 g/cm³
- DFT formation energy: 2.95 eV/atom

***

# 7
Density functional theory data (PBE) for a geometry-optimized CoAg3C structure.

```
5
Lattice="4.729 0.000 0.000 0.000 4.729 0.000 0.000 0.000 4.729" Properties=species:S:1:pos:R:3 pbc="T T T"
Co 0.000 0.000 0.000
Ag 0.000 0.000 2.364
Ag 0.000 2.364 0.000
Ag 2.364 0.000 0.000
C 2.364 2.364 2.364
```

Calculated values
- Magnetic moment: 0.01 μB/f.u.
- Volume: 21.148 A^3/atom
- Density: 6.20 g/cm³
- DFT formation energy: 2.34 eV/atom

***

# 8
Density functional theory data (PBE) for a geometry-optimized Er2CoAgC structure.

```
5
Lattice="4.961 0.000 0.000 0.000 4.961 0.000 0.000 0.000 3.644" Properties=species:S:1:pos:R:3 pbc="T T T"
Er 0.000 2.480 0.000
Er 2.480 0.000 0.000
Co 0.000 0.000 1.822
Ag 2.480 2.480 1.822
C 0.000 0.000 0.000
```

Calculated values
- Magnetic moment: 0.00 μB/f.u.
- Volume: 17.932 A^3/atom
- Density: 9.51 g/cm³
- DFT formation energy: -0.39 eV/atom

***

# 9
Density functional theory data (PBE) for a geometry-optimized CoAgC2I structure.

```
5
Lattice="3.732 0.000 0.000 0.000 3.732 0.000 0.000 0.000 8.510" Properties=species:S:1:pos:R:3 pbc="T T T"
Co 0.000 0.000 0.000
Ag 1.866 1.866 4.255
C 0.000 1.866 0.000
C 1.866 0.000 0.000
I 0.000 0.000 4.255
```

Calculated values
- Magnetic moment: 0.00 μB/f.u.
- Volume: 23.701 A^3/atom
- Density: 4.45 g/cm³
- Formation energy without anion corrections: 1.481 eV per atom

***

# 10
Density functional theory data (PBE) for a geometry-optimized La2CoAgC structure.

```
5
Lattice="5.388 0.000 0.000 0.000 5.388 0.000 0.000 0.000 3.672" Properties=species:S:1:pos:R:3 pbc="T T T"
La 0.000 2.694 0.000
La 2.694 0.000 0.000
Co 0.000 0.000 1.836
Ag 2.694 2.694 1.836
C 0.000 0.000 0.000
```

Calculated values
- Magnetic moment: 0.00 μB/f.u.
- Volume: 21.316 A^3/atom
- Density: 7.11 g/cm³
- DFT formation energy: -0.25 eV/atom

***

# 11
Density functional theory data (PBE) for a geometry-optimized LiCo2AgC structure.

```
5
Lattice="3.686 0.000 0.000 0.000 3.686 0.000 0.000 0.000 4.241" Properties=species:S:1:pos:R:3 pbc="T T T"
Li 0.000 0.000 0.000
Co 0.000 1.843 2.121
Co 1.843 0.000 2.121
Ag 1.843 1.843 0.000
C 0.000 0.000 2.121
```

Calculated values
- Magnetic moment: 0.84 μB/f.u.
- Volume: 11.527 A^3/atom
- Density: 7.05 g/cm³
- DFT formation energy: 0.10 eV/atom

***

# 12
Density functional theory data (PBE) for a geometry-optimized MnCo2AgC structure.

```
5
Lattice="3.824 0.000 0.000 0.000 3.824 0.000 0.000 0.000 3.962" Properties=species:S:1:pos:R:3 pbc="T T T"
Mn 0.000 0.000 0.000
Co 0.000 1.912 1.981
Co 1.912 0.000 1.981
Ag 1.912 1.912 0.000
C 0.000 0.000 1.981
```

Calculated values
- Magnetic moment: 4.22 μB/f.u.
- Volume: 11.587 A^3/atom
- Density: 8.39 g/cm³
- DFT formation energy: 0.19 eV/atom

***

# 13
Density functional theory data (PBE) for a geometry-optimized Nd2CoAgC structure.

```
5
Lattice="5.270 0.000 0.000 0.000 5.270 0.000 0.000 0.000 3.658" Properties=species:S:1:pos:R:3 pbc="T T T"
Nd 0.000 2.635 0.000
Nd 2.635 0.000 0.000
Co 0.000 0.000 1.829
Ag 2.635 2.635 1.829
C 0.000 0.000 0.000
```

Calculated values
- Magnetic moment: 0.00 μB/f.u.
- Volume: 20.322 A^3/atom
- Density: 7.64 g/cm³
- DFT formation energy: -0.25 eV/atom

***

# 14
Density functional theory data (PBE) for a geometry-optimized CoNi2AgC structure.

```
5
Lattice="3.854 0.000 0.000 0.000 3.854 0.000 0.000 0.000 3.766" Properties=species:S:1:pos:R:3 pbc="T T T"
Co 0.000 0.000 0.000
Ni 0.000 1.927 1.883
Ni 1.927 0.000 1.883
Ag 1.927 1.927 0.000
C 0.000 0.000 1.883
```

Calculated values
- Magnetic moment: 0.14 μB/f.u.
- Volume: 11.187 A^3/atom
- Density: 8.79 g/cm³
- DFT formation energy: 0.18 eV/atom

***

# 15
Density functional theory data (PBE) for a geometry-optimized CoNiAg2C structure.

```
5
Lattice="4.329 0.000 0.000 0.000 4.329 0.000 0.000 0.000 3.616" Properties=species:S:1:pos:R:3 pbc="T T T"
Co 0.000 0.000 0.000
Ni 2.164 2.164 0.000
Ag 0.000 2.164 1.808
Ag 2.164 0.000 1.808
C 0.000 0.000 1.808
```

Calculated values
- Magnetic moment: 0.69 μB/f.u.
- Volume: 13.552 A^3/atom
- Density: 8.46 g/cm³
- DFT formation energy: 0.75 eV/atom